Computed, not measured: a relaxed Zn2TcP crystal at the PBE-GGA level of DFT.

## Properties
total energy	-18.12	eV per cell
ΔE_f	0.0497	eV/atom
DOS(E_F)	2.1	states/eV/cell

Unit cell a=3.428 b=3.428 c=4.846 alpha=90.00 beta=90.00 gamma=90.00
Fractional coordinates of all 4 atoms:
Zn (0.000, 0.000, 0.249)
Zn (0.000, 0.000, 0.751)
Tc (0.500, 0.500, 0.000)
P (0.500, 0.500, 0.500)


Computed, not measured: a relaxed Zn2TcP crystal at the PBE-GGA level of DFT.

## Properties
total energy	-17.82	eV per cell
ΔE_f	0.1264	eV/atom
DOS(E_F)	2.7	states/eV/cell

Unit cell a=3.973 b=3.139 c=4.544 alpha=90.00 beta=98.30 gamma=90.00
Fractional coordinates of all 4 atoms:
Zn (0.000, 0.000, 0.000)
Zn (0.500, 0.500, 0.000)
Tc (0.000, 0.500, 0.500)
P (0.500, 0.000, 0.500)


Computed, not measured: a relaxed Zn2TcP crystal at the PBE-GGA level of DFT.

## Properties
total energy	-17.13	eV per cell
ΔE_f	0.2974	eV/atom
DOS(E_F)	4.3	states/eV/cell

Unit cell a=4.308 b=4.308 c=4.308 alpha=60.00 beta=60.00 gamma=60.00
Fractional coordinates of all 4 atoms:
Zn (0.000, 0.000, 0.000)
Zn (0.250, 0.250, 0.250)
Tc (0.750, 0.750, 0.750)
P (0.500, 0.500, 0.500)


Computed, not measured: a relaxed ZnTcP crystal at the PBE-GGA level of DFT.

## Properties
total energy	-17.36	eV per cell
energy above the most stable polymorph in this dataset	192	meV per atom
ΔE_f	-0.1038	eV/atom
DOS(E_F)	1.4	states/eV/cell

Unit cell a=3.947 b=3.947 c=3.311 alpha=90.00 beta=90.00 gamma=120.00
Fractional coordinates of all 3 atoms:
Zn (0.000, 0.000, 0.000)
Tc (0.333, 0.667, 0.500)
P (0.667, 0.333, 0.500)


Computed, not measured: a relaxed Zn2TcP crystal at the PBE-GGA level of DFT.

## Properties
total energy	-18.29	eV per cell
ΔE_f	0.0093	eV/atom
DOS(E_F)	1.6	states/eV/cell

Unit cell a=6.710 b=6.710 c=6.710 alpha=156.88 beta=146.58 gamma=41.03
Fractional coordinates of all 4 atoms:
Zn (0.196, 0.196, 0.000)
Zn (0.804, 0.804, 0.000)
Tc (0.000, 0.500, 0.500)
P (0.500, 0.000, 0.500)


Computed, not measured: a relaxed ZnTcP crystal at the PBE-GGA level of DFT.

## Properties
total energy	-17.94	eV per cell
energy above the most stable polymorph in this dataset	0	meV per atom
ΔE_f	-0.2955	eV/atom
DOS(E_F)	0.2	states/eV/cell

Unit cell a=4.865 b=4.865 c=4.865 alpha=143.01 beta=143.01 gamma=53.31
Fractional coordinates of all 3 atoms:
Zn (0.000, 0.000, 0.000)
Tc (0.307, 0.307, 0.000)
P (0.684, 0.684, 0.000)


Computed, not measured: a relaxed ZnTc2P crystal at the PBE-GGA level of DFT.

## Properties
total energy	-27.36	eV per cell
energy above the most stable polymorph in this dataset	166	meV per atom
ΔE_f	0.0134	eV/atom
DOS(E_F)	4.5	states/eV/cell

Unit cell a=8.526 b=8.526 c=8.526 alpha=19.21 beta=19.21 gamma=19.21
Fractional coordinates of all 4 atoms:
Zn (0.000, 0.000, 0.000)
Tc (0.505, 0.505, 0.505)
Tc (0.753, 0.753, 0.753)
P (0.243, 0.243, 0.243)


Computed, not measured: a relaxed Zn2TcP crystal at the PBE-GGA level of DFT.

## Properties
total energy	-18.93	eV per cell
ΔE_f	-0.1522	eV/atom
DOS(E_F)	1.1	states/eV/cell

Unit cell a=3.116 b=3.116 c=5.788 alpha=90.00 beta=90.00 gamma=90.00
Fractional coordinates of all 4 atoms:
Zn (0.000, 0.000, 0.000)
Zn (0.500, 0.500, 0.246)
Tc (0.500, 0.500, 0.710)
P (0.000, 0.000, 0.524)


Computed, not measured: a relaxed ZnTc2P crystal at the PBE-GGA level of DFT.

## Properties
total energy	-27.50	eV per cell
energy above the most stable polymorph in this dataset	130	meV per atom
ΔE_f	-0.0219	eV/atom
DOS(E_F)	3.3	states/eV/cell

Unit cell a=4.969 b=4.969 c=4.969 alpha=144.79 beta=125.54 gamma=66.53
Fractional coordinates of all 4 atoms:
Zn (0.000, 0.000, 0.000)
Tc (0.287, 0.787, 0.500)
Tc (0.713, 0.213, 0.500)
P (0.500, 0.500, 0.000)


Computed, not measured: a relaxed ZnTc2P crystal at the PBE-GGA level of DFT.

## Properties
total energy	-27.54	eV per cell
energy above the most stable polymorph in this dataset	122	meV per atom
ΔE_f	-0.0298	eV/atom
DOS(E_F)	2.7	states/eV/cell

Unit cell a=4.285 b=4.285 c=4.954 alpha=104.94 beta=104.94 gamma=40.59
Fractional coordinates of all 4 atoms:
Zn (0.000, 0.000, 0.000)
Tc (0.227, 0.227, 0.720)
Tc (0.773, 0.773, 0.280)
P (0.500, 0.500, 0.500)


Computed, not measured: a relaxed ZnTc2P crystal at the PBE-GGA level of DFT.

## Properties
total energy	-52.02	eV per cell
energy above the most stable polymorph in this dataset	504	meV per atom
ΔE_f	0.3516	eV/atom
DOS(E_F)	7.3	states/eV/cell

Unit cell a=9.288 b=9.288 c=9.288 alpha=157.06 beta=157.06 gamma=32.67
Fractional coordinates of all 8 atoms:
Zn (0.000, 0.000, 0.000)
Zn (0.750, 0.250, 0.500)
Tc (0.149, 0.625, 0.024)
Tc (0.375, 0.399, 0.524)
Tc (0.601, 0.125, 0.976)
Tc (0.875, 0.851, 0.476)
P (0.250, 0.750, 0.500)
P (0.500, 0.500, 0.000)


Computed, not measured: a relaxed ZnTc2P crystal at the PBE-GGA level of DFT.

## Properties
total energy	-27.40	eV per cell
energy above the most stable polymorph in this dataset	155	meV per atom
ΔE_f	0.0033	eV/atom
DOS(E_F)	4.5	states/eV/cell

Unit cell a=4.208 b=4.208 c=3.017 alpha=90.00 beta=90.00 gamma=90.00
Fractional coordinates of all 4 atoms:
Zn (0.000, 0.000, 0.000)
Tc (0.000, 0.500, 0.500)
Tc (0.500, 0.000, 0.500)
P (0.500, 0.500, 0.000)


Computed, not measured: a relaxed Zn3TcP crystal at the PBE-GGA level of DFT.

## Properties
total energy	-13.70	eV per cell
energy above the most stable polymorph in this dataset	203	meV per atom
ΔE_f	1.1793	eV/atom
DOS(E_F)	2.7	states/eV/cell

Unit cell a=4.816 b=4.816 c=4.816 alpha=90.00 beta=90.00 gamma=90.00
Fractional coordinates of all 5 atoms:
Zn (0.000, 0.000, 0.500)
Zn (0.000, 0.500, 0.000)
Zn (0.500, 0.000, 0.000)
Tc (0.000, 0.000, 0.000)
P (0.500, 0.500, 0.500)


Computed, not measured: a relaxed Zn3TcP crystal at the PBE-GGA level of DFT.

## Properties
total energy	-14.71	eV per cell
energy above the most stable polymorph in this dataset	0	meV per atom
ΔE_f	0.9766	eV/atom
DOS(E_F)	3.4	states/eV/cell

Unit cell a=4.535 b=4.535 c=4.535 alpha=90.00 beta=90.00 gamma=90.00
Fractional coordinates of all 5 atoms:
Zn (0.000, 0.000, 0.500)
Zn (0.000, 0.500, 0.000)
Zn (0.500, 0.000, 0.000)
Tc (0.500, 0.500, 0.500)
P (0.000, 0.000, 0.000)


Computed, not measured: a relaxed ZnTcP crystal at the PBE-GGA level of DFT.

## Properties
total energy	-16.54	eV per cell
energy above the most stable polymorph in this dataset	467	meV per atom
ΔE_f	0.1711	eV/atom
DOS(E_F)	1.3	states/eV/cell

Unit cell a=6.765 b=6.519 c=2.853 alpha=82.47 beta=72.82 gamma=24.71
Fractional coordinates of all 3 atoms:
Zn (0.000, 0.000, 0.000)
Tc (0.670, 0.670, 0.330)
P (0.302, 0.302, 0.698)


Computed, not measured: a relaxed Zn2TcP crystal at the PBE-GGA level of DFT.

## Properties
total energy	-34.14	eV per cell
ΔE_f	0.3130	eV/atom
DOS(E_F)	5.9	states/eV/cell

Unit cell a=5.645 b=5.645 c=5.645 alpha=100.15 beta=100.15 gamma=130.37
Fractional coordinates of all 8 atoms:
Zn (0.091, 0.625, 0.966)
Zn (0.375, 0.341, 0.466)
Zn (0.659, 0.125, 0.034)
Zn (0.875, 0.909, 0.534)
Tc (0.250, 0.750, 0.500)
Tc (0.500, 0.500, 0.000)
P (0.000, 0.000, 0.000)
P (0.750, 0.250, 0.500)


Computed, not measured: a relaxed ZnTcP3 crystal at the PBE-GGA level of DFT.

## Properties
total energy	-24.99	eV per cell
energy above the most stable polymorph in this dataset	0	meV per atom
ΔE_f	0.5751	eV/atom
DOS(E_F)	3.5	states/eV/cell

Unit cell a=4.633 b=4.633 c=4.633 alpha=90.00 beta=90.00 gamma=90.00
Fractional coordinates of all 5 atoms:
Zn (0.000, 0.000, 0.000)
Tc (0.500, 0.500, 0.500)
P (0.000, 0.500, 0.500)
P (0.500, 0.000, 0.500)
P (0.500, 0.500, 0.000)


Computed, not measured: a relaxed Zn2TcP crystal at the PBE-GGA level of DFT.

## Properties
total energy	-17.77	eV per cell
ΔE_f	0.1381	eV/atom
DOS(E_F)	1.4	states/eV/cell

Unit cell a=2.838 b=2.838 c=8.522 alpha=90.00 beta=90.00 gamma=115.26
Fractional coordinates of all 4 atoms:
Zn (0.000, 0.000, 0.000)
Zn (0.500, 0.500, 0.261)
Tc (0.500, 0.500, 0.743)
P (0.000, 0.000, 0.541)


Computed, not measured: a relaxed Zn2TcP crystal at the PBE-GGA level of DFT.

## Properties
total energy	-17.70	eV per cell
ΔE_f	0.1558	eV/atom
DOS(E_F)	1.7	states/eV/cell

Unit cell a=2.719 b=4.733 c=4.721 alpha=90.00 beta=103.66 gamma=90.00
Fractional coordinates of all 4 atoms:
Zn (0.214, 0.000, 0.260)
Zn (0.786, 0.000, 0.740)
Tc (0.000, 0.500, 0.500)
P (0.000, 0.500, 0.000)


Computed, not measured: a relaxed Zn2TcP crystal at the PBE-GGA level of DFT.

## Properties
total energy	-18.18	eV per cell
ΔE_f	0.0365	eV/atom
DOS(E_F)	1.5	states/eV/cell

Unit cell a=5.043 b=5.043 c=5.043 alpha=138.60 beta=138.60 gamma=59.99
Fractional coordinates of all 4 atoms:
Zn (0.250, 0.750, 0.500)
Zn (0.750, 0.250, 0.500)
Tc (0.000, 0.000, 0.000)
P (0.500, 0.500, 0.000)


Computed, not measured: a relaxed ZnTc2P crystal at the PBE-GGA level of DFT.

## Properties
total energy	-28.02	eV per cell
energy above the most stable polymorph in this dataset	0	meV per atom
ΔE_f	-0.1521	eV/atom
DOS(E_F)	2.7	states/eV/cell

Unit cell a=2.940 b=2.940 c=6.338 alpha=90.00 beta=90.00 gamma=90.00
Fractional coordinates of all 4 atoms:
Zn (0.000, 0.000, 0.000)
Tc (0.500, 0.500, 0.287)
Tc (0.500, 0.500, 0.713)
P (0.000, 0.000, 0.500)


Computed, not measured: a relaxed Zn2TcP crystal at the PBE-GGA level of DFT.

## Properties
total energy	-18.22	eV per cell
ΔE_f	0.0259	eV/atom
DOS(E_F)	1.6	states/eV/cell

Unit cell a=4.974 b=4.974 c=4.974 alpha=142.18 beta=129.10 gamma=65.13
Fractional coordinates of all 4 atoms:
Zn (0.000, 0.000, 0.000)
Zn (0.737, 0.237, 0.500)
Tc (0.273, 0.773, 0.500)
P (0.477, 0.477, 0.000)


Computed, not measured: a relaxed Zn4TcP crystal at the PBE-GGA level of DFT.

## Properties
total energy	-19.11	eV per cell
ΔE_f	0.2930	eV/atom
DOS(E_F)	3.6	states/eV/cell

Unit cell a=4.960 b=4.960 c=4.960 alpha=60.00 beta=60.00 gamma=60.00
Fractional coordinates of all 6 atoms:
Zn (0.124, 0.124, 0.124)
Zn (0.124, 0.124, 0.628)
Zn (0.124, 0.628, 0.124)
Zn (0.628, 0.124, 0.124)
Tc (0.750, 0.750, 0.750)
P (0.500, 0.500, 0.500)


Computed, not measured: a relaxed ZnTc2P crystal at the PBE-GGA level of DFT.

## Properties
total energy	-26.41	eV per cell
energy above the most stable polymorph in this dataset	404	meV per atom
ΔE_f	0.2518	eV/atom
DOS(E_F)	3.4	states/eV/cell

Unit cell a=2.745 b=2.745 c=8.623 alpha=90.00 beta=90.00 gamma=114.08
Fractional coordinates of all 4 atoms:
Zn (0.000, 0.000, 0.000)
Tc (0.000, 0.000, 0.494)
Tc (0.500, 0.500, 0.747)
P (0.500, 0.500, 0.276)


Computed, not measured: a relaxed ZnTc2P crystal at the PBE-GGA level of DFT.

## Properties
total energy	-27.70	eV per cell
energy above the most stable polymorph in this dataset	80	meV per atom
ΔE_f	-0.0722	eV/atom
DOS(E_F)	3.0	states/eV/cell

Unit cell a=5.518 b=5.518 c=5.518 alpha=148.88 beta=138.93 gamma=52.41
Fractional coordinates of all 4 atoms:
Zn (0.000, 0.000, 0.000)
Tc (0.315, 0.815, 0.500)
Tc (0.573, 0.573, 0.000)
P (0.759, 0.259, 0.500)


Computed, not measured: a relaxed ZnTc2P crystal at the PBE-GGA level of DFT.

## Properties
total energy	-26.40	eV per cell
energy above the most stable polymorph in this dataset	405	meV per atom
ΔE_f	0.2528	eV/atom
DOS(E_F)	3.9	states/eV/cell

Unit cell a=3.009 b=4.050 c=4.646 alpha=90.00 beta=90.00 gamma=90.00
Fractional coordinates of all 4 atoms:
Zn (0.000, 0.000, 0.000)
Tc (0.000, 0.500, 0.500)
Tc (0.500, 0.500, 0.000)
P (0.500, 0.000, 0.500)


Computed, not measured: a relaxed ZnTcP crystal at the PBE-GGA level of DFT.

## Properties
total energy	-14.56	eV per cell
energy above the most stable polymorph in this dataset	1124	meV per atom
ΔE_f	0.8285	eV/atom
DOS(E_F)	3.7	states/eV/cell

Unit cell a=4.076 b=4.076 c=4.076 alpha=60.00 beta=60.00 gamma=60.00
Fractional coordinates of all 3 atoms:
Zn (0.000, 0.000, 0.000)
Tc (0.750, 0.750, 0.750)
P (0.250, 0.250, 0.250)


Computed, not measured: a relaxed Zn2TcP crystal at the PBE-GGA level of DFT.

## Properties
total energy	-17.06	eV per cell
ΔE_f	0.3156	eV/atom
DOS(E_F)	3.4	states/eV/cell

Unit cell a=2.665 b=2.665 c=8.423 alpha=90.00 beta=90.00 gamma=90.00
Fractional coordinates of all 4 atoms:
Zn (0.000, 0.000, 0.240)
Zn (0.000, 0.000, 0.760)
Tc (0.500, 0.500, 0.000)
P (0.500, 0.500, 0.500)


Computed, not measured: a relaxed ZnTc2P crystal at the PBE-GGA level of DFT.

## Properties
total energy	-27.44	eV per cell
energy above the most stable polymorph in this dataset	145	meV per atom
ΔE_f	-0.0071	eV/atom
DOS(E_F)	3.2	states/eV/cell

Unit cell a=5.743 b=5.743 c=5.743 alpha=36.92 beta=36.92 gamma=36.92
Fractional coordinates of all 4 atoms:
Zn (0.000, 0.000, 0.000)
Tc (0.566, 0.566, 0.566)
Tc (0.770, 0.770, 0.770)
P (0.168, 0.168, 0.168)


Computed, not measured: a relaxed ZnTc2P crystal at the PBE-GGA level of DFT.

## Properties
total energy	-27.57	eV per cell
energy above the most stable polymorph in this dataset	114	meV per atom
ΔE_f	-0.0383	eV/atom
DOS(E_F)	2.7	states/eV/cell

Unit cell a=4.288 b=4.828 c=4.828 alpha=35.05 beta=90.00 gamma=90.00
Fractional coordinates of all 4 atoms:
Zn (0.000, 0.000, 0.000)
Tc (0.000, 0.734, 0.734)
Tc (0.500, 0.349, 0.349)
P (0.500, 0.627, 0.627)


Number 1: spin magnetization 0.0 μB/f.u.. Number 2: spin magnetization 0.0 μB/f.u.. Number 3: spin magnetization 0.0 μB/f.u.. Number 4: spin magnetization 0.0 μB/f.u.. Number 5: spin magnetization 0.0 μB/f.u.. Number 6: spin magnetization 0.0 μB/f.u.. Number 7: spin magnetization 0.0 μB/f.u.. Number 8: spin magnetization 0.0 μB/f.u.. Number 9: spin magnetization 0.0 μB/f.u.. Number 10: spin magnetization 0.0 μB/f.u.. Number 11: spin magnetization 0.0 μB/f.u.. Number 12: spin magnetization 0.0 μB/f.u.. Number 13: spin magnetization 2.2 μB/f.u.. Number 14: spin magnetization 2.5 μB/f.u.. Number 15: spin magnetization 0.0 μB/f.u.. Number 16: spin magnetization 1.0 μB/f.u.. Number 17: spin magnetization 0.0 μB/f.u.. Number 18: spin magnetization 0.0 μB/f.u.. Number 19: spin magnetization 0.0 μB/f.u.. Number 20: spin magnetization 0.6 μB/f.u.. Number 21: spin magnetization 0.0 μB/f.u.. Number 22: spin magnetization 0.0 μB/f.u.. Number 23: spin magnetization 0.0 μB/f.u.. Number 24: spin magnetization 0.0 μB/f.u.. Number 25: spin magnetization 0.0 μB/f.u.. Number 26: spin magnetization 0.0 μB/f.u.. Number 27: spin magnetization 0.5 μB/f.u.. Number 28: spin magnetization 0.4 μB/f.u.. Number 29: spin magnetization 0.0 μB/f.u.. Number 30: spin magnetization 0.0 μB/f.u..